No. 1
{"formula": "ThScN", "functional": "PBE", "state": "relaxed", "total_magnetization_mub_per_cell": 0.00, "formation_energy_uncorrected_ev_per_atom": -1.0168, "density_g_cm3": 8.01, "lattice": [[3.3840, 0.0000, 0.0000], [0.0000, 5.1058, -1.1228], [0.0000, -3.6444, 7.7880]], "species": ["Th", "Th", "N", "N", "Sc", "Sc"], "fractional_positions": [[0.2500, 0.3820, 0.1321], [0.7500, 0.6180, 0.8679], [0.2500, 0.8955, 0.1457], [0.7500, 0.1045, 0.8543], [0.7500, 0.0999, 0.3500], [0.2500, 0.9001, 0.6500]]}


No. 2
{"formula": "KSbTe", "functional": "PBE", "state": "relaxed", "total_magnetization_mub_per_cell": 0.00, "formation_energy_uncorrected_ev_per_atom": -0.0763, "density_g_cm3": 4.06, "lattice": [[5.5067, 0.0000, 0.0000], [2.7534, 4.7690, 0.0000], [2.7534, 1.5897, 4.4962]], "species": ["Te", "Sb", "K"], "fractional_positions": [[0.0000, 0.0000, 0.0000], [0.7500, 0.7500, 0.7500], [0.5000, 0.5000, 0.5000]]}


No. 3
{"formula": "SmHoGePt", "functional": "PBE", "state": "relaxed", "total_magnetization_mub_per_cell": 0.00, "density_g_cm3": 10.62, "ef_ev_per_atom": -0.905, "lattice": [[5.0512, 0.0000, 0.0000], [2.5256, 4.3745, 0.0000], [2.5256, 1.4582, 4.1243]], "species": ["Ge", "Sm", "Pt", "Ho"], "fractional_positions": [[0.2500, 0.2500, 0.2500], [0.0000, 0.0000, 0.0000], [0.7500, 0.7500, 0.7500], [0.5000, 0.5000, 0.5000]]}


No. 4
{"formula": "In2Si2Au", "functional": "PBE", "state": "relaxed", "total_magnetization_mub_per_cell": 0.00, "formation_energy_uncorrected_ev_per_atom": 0.1423, "density_g_cm3": 7.78, "lattice": [[3.4552, 0.0000, 0.0000], [0.0000, 3.4552, 0.0000], [1.7276, 1.7276, 8.6315]], "species": ["Si", "Si", "Au", "In", "In"], "fractional_positions": [[0.2500, 0.7500, 0.5000], [0.7500, 0.2500, 0.5000], [0.0000, 0.0000, 0.0000], [0.6015, 0.6015, 0.7969], [0.3985, 0.3985, 0.2031]]}


No. 5
{"formula": "Ce4CS2Cl", "functional": "PBE", "state": "relaxed", "total_magnetization_mub_per_cell": 0.59, "formation_energy_uncorrected_ev_per_atom": -1.4468, "density_g_cm3": 6.47, "lattice": [[3.8960, 0.0000, 0.0000], [0.0000, 6.7907, -0.1465], [0.0000, 2.3815, 6.4650]], "species": ["C", "Ce", "Ce", "Ce", "Ce", "S", "S", "Cl"], "fractional_positions": [[0.0000, 0.5000, 0.5000], [0.0000, 0.7418, 0.7311], [0.5000, 0.2724, 0.7227], [0.5000, 0.7276, 0.2773], [0.0000, 0.2582, 0.2689], [0.0000, 0.0000, 0.0000], [0.5000, 0.0000, 0.5000], [0.5000, 0.5000, 0.0000]]}


No. 6
{"formula": "Re2Cl7O3", "functional": "PBE", "state": "relaxed", "total_magnetization_mub_per_cell": 4.13, "formation_energy_uncorrected_ev_per_atom": -0.9015, "density_g_cm3": 3.26, "lattice": [[11.5003, 0.0000, 0.0000], [0.0000, 6.7601, 0.0646], [0.0000, 5.4135, 17.5508]], "species": ["O", "O", "O", "O", "O", "O", "O", "O", "O", "O", "O", "O", "Cl", "Cl", "Cl", "Cl", "Cl", "Cl", "Cl", "Cl", "Cl", "Cl", "Cl", "Cl", "Cl", "Cl", "Cl", "Cl", "Cl", "Cl", "Cl", "Cl", "Cl", "Cl", "Cl", "Cl", "Cl", "Cl", "Cl", "Cl", "Re", "Re", "Re", "Re", "Re", "Re", "Re", "Re"], "fractional_positions": [[0.7806, 0.8515, 0.9883], [0.0124, 0.4665, 0.2530], [0.9876, 0.5335, 0.7470], [0.5124, 0.5335, 0.2470], [0.7501, 0.5896, 0.4018], [0.7194, 0.8515, 0.4883], [0.2806, 0.1485, 0.5117], [0.7499, 0.5896, 0.9018], [0.2194, 0.1485, 0.0117], [0.4876, 0.4665, 0.7530], [0.2501, 0.4104, 0.0982], [0.2499, 0.4104, 0.5982], [0.4817, 0.6556, 0.5509], [0.2813, 0.6072, 0.4312], [0.2071, 0.2416, 0.7718], [0.0099, 0.2159, 0.6547], [0.7071, 0.7584, 0.7282], [0.0183, 0.6556, 0.0509], [0.9817, 0.3444, 0.9491], [0.7187, 0.3928, 0.5688], [0.7301, 0.2737, 0.8082], [0.4641, 0.1523, 0.6280], [0.5359, 0.8477, 0.3720], [0.4901, 0.2159, 0.1547], [0.2187, 0.6072, 0.9312], [0.2301, 0.7263, 0.6918], [0.9641, 0.8477, 0.8720], [0.7699, 0.2737, 0.3082], [0.0359, 0.1523, 0.1280], [0.2929, 0.2416, 0.2718], [0.4607, 0.6983, 0.0705], [0.9901, 0.7841, 0.3453], [0.2699, 0.7263, 0.1918], [0.7813, 0.3928, 0.0688], [0.5183, 0.3444, 0.4491], [0.5393, 0.3017, 0.9295], [0.9607, 0.3017, 0.4295], [0.0393, 0.6983, 0.5705], [0.5099, 0.7841, 0.8453], [0.7929, 0.7584, 0.2282], [0.9093, 0.5144, 0.3107], [0.3446, 0.3494, 0.5350], [0.6554, 0.6506, 0.4650], [0.0907, 0.4856, 0.6893], [0.8446, 0.6506, 0.9650], [0.1554, 0.3494, 0.0350], [0.5907, 0.5144, 0.8107], [0.4093, 0.4856, 0.1893]]}


No. 7
{"formula": "Na2AcLa3Te6", "functional": "PBE", "state": "relaxed", "total_magnetization_mub_per_cell": 0.00, "formation_energy_uncorrected_ev_per_atom": -1.4544, "density_g_cm3": 5.75, "lattice": [[7.9648, 0.0017, 0.0000], [-3.9790, 6.8997, 0.0000], [-1.3299, -2.3028, 7.6474]], "species": ["Ac", "Na", "Na", "Te", "Te", "Te", "Te", "Te", "Te", "La", "La", "La"], "fractional_positions": [[0.0000, 0.0000, 0.0000], [0.3331, 0.6669, 0.0000], [0.6669, 0.3331, 0.0000], [0.4223, 0.0844, 0.2531], [0.0844, 0.4223, 0.2531], [0.9156, 0.5777, 0.7469], [0.5777, 0.9156, 0.7469], [0.2536, 0.2536, 0.7468], [0.7464, 0.7464, 0.2532], [0.5000, 0.5000, 0.5000], [0.8336, 0.1664, 0.5000], [0.1664, 0.8336, 0.5000]]}


No. 8
{"formula": "MnBeRe2", "functional": "PBE", "state": "relaxed", "total_magnetization_mub_per_cell": 2.12, "density_g_cm3": 14.11, "ef_ev_per_atom": 0.101, "lattice": [[4.6330, -0.1894, 0.0000], [1.9339, 4.2143, 0.0000], [-3.2834, -2.0125, 2.5825]], "species": ["Be", "Re", "Re", "Mn"], "fractional_positions": [[0.5000, 0.5000, 0.0000], [0.2500, 0.7500, 0.5000], [0.0000, 0.0000, 0.0000], [0.7500, 0.2500, 0.5000]]}


Number 1 is which compound? ThScN


What is the formula in the third record? SmHoGePt